Record 1
Here is a geometry-optimized NiIrRu2 structure from Alexandria via LeMat-Bulk. Energies are from PBE-GGA.

Output
The density of states at the Fermi level is 6.7 states/eV per cell. The value obtained for the calculated density is 13.5 g cm⁻³. The energy above the most stable polymorph in this dataset comes out at 0.328 eV/atom. For the spin magnetization, the calculation gives 1.686 μB per formula unit. The value obtained for the final energy is -7.93 eV/atom. The formation energy is 0.365 eV/atom.

Cell: 4.542 4.542 2.695 Å, 90.00 90.00 90.00°
Site moments in Bohr magnetons follow the coordinates.
Element x y z (fractional)
Ru 0.000 0.000 0.000  0.55
Ru 0.500 0.500 0.000  0.55
Ni 0.000 0.500 0.500  0.33
Ir 0.500 0.000 0.500  0.24

Record 2
Here is a geometry-optimized CoSiRh2 structure from Alexandria via LeMat-Bulk. Energies are from PBE-GGA.

Output
The density of states at the Fermi level is 4.7 states/eV per cell. The value obtained for the calculated density is 9.6 g cm⁻³. For the spin magnetization, the calculation gives 0.805 μB per formula unit. The formation energy from raw total energies comes out at -0.317 eV per atom. The value obtained for the final energy is -7.13 eV/atom.

Cell: 3.452 3.835 3.835 Å, 90.00 90.00 90.00°
Site moments in Bohr magnetons follow the coordinates.
Element x y z (fractional)
Si 0.500 0.500 0.000  0.00
Co 0.500 0.000 0.500  0.69
Rh 0.000 0.000 0.000  0.06
Rh 0.000 0.500 0.500  0.06

Record 3
Here is a geometry-optimized YTaSnN2 structure from Alexandria via LeMat-Bulk. Energies are from PBE-GGA.

Output
The density of states at the Fermi level is 3.0 states/eV per cell. The value obtained for the calculated density is 7.3 g cm⁻³. For the spin magnetization, the calculation gives 0.000 μB per formula unit. The formation energy from raw total energies comes out at 0.028 eV per atom. The value obtained for the final energy is -7.77 eV/atom.

Cell: 4.159 5.516 4.159 Å, 90.00 90.00 90.00°
Element x y z (fractional)
N 0.500 0.000 0.000
N 0.000 0.000 0.500
Ta 0.000 0.000 0.000
Sn 0.000 0.500 0.000
Y 0.500 0.500 0.500

Record 4
Here is a geometry-optimized Cs2MgAgCl5 structure from Alexandria via LeMat-Bulk. Energies are from PBE-GGA.

Output
The density of states at the Fermi level is 0.0 states/eV per cell. The value obtained for the calculated density is 3.2 g cm⁻³. For the spin magnetization, the calculation gives 0.000 μB per formula unit. The formation energy from raw total energies comes out at -1.588 eV per atom. The value obtained for the final energy is -3.30 eV/atom.

Cell: 4.138 10.478 13.878 Å, 90.00 90.00 101.39°
Element x y z (fractional)
Mg 0.212 0.424 0.019
Mg 0.788 0.576 0.519
Cs 0.121 0.242 0.695
Cs 0.868 0.736 0.807
Cs 0.879 0.758 0.195
Cs 0.132 0.264 0.307
Cl 0.671 0.341 0.503
Cl 0.716 0.431 0.138
Cl 0.091 0.181 0.044
Cl 0.909 0.819 0.544
Cl 0.699 0.399 0.893
Cl 0.502 0.004 0.786
Cl 0.284 0.569 0.638
Cl 0.329 0.659 0.003
Cl 0.301 0.601 0.393
Cl 0.498 0.996 0.286
Ag 0.564 0.127 0.939
Ag 0.436 0.873 0.439

Record 5
Here is a geometry-optimized In2MoIr structure from Alexandria via LeMat-Bulk. Energies are from PBE-GGA.

Output
The density of states at the Fermi level is 5.3 states/eV per cell. The value obtained for the calculated density is 11.8 g cm⁻³. The energy above the most stable polymorph in this dataset comes out at 0.180 eV/atom. For the spin magnetization, the calculation gives 0.001 μB per formula unit. The value obtained for the final energy is -6.12 eV/atom. The formation energy is 0.176 eV/atom.

Cell: 5.527 5.527 5.001 Å, 69.34 69.34 30.92°
Element x y z (fractional)
In 0.982 0.982 0.071
In 0.770 0.770 0.675
Ir 0.523 0.523 0.558
Mo 0.226 0.226 0.196

Record 6
Here is a geometry-optimized Pr2Zn5Ge structure from Alexandria via LeMat-Bulk. Energies are from PBE-GGA.

Output
The density of states at the Fermi level is 8.4 states/eV per cell. The value obtained for the calculated density is 7.0 g cm⁻³. For the spin magnetization, the calculation gives 0.000 μB per formula unit. The value obtained for the final energy is -3.03 eV/atom. The formation energy is -0.461 eV/atom.

Cell: 4.453 8.453 8.908 Å, 90.00 90.00 105.27°
Element x y z (fractional)
Pr 0.000 0.000 0.500
Pr 0.204 0.409 0.250
Pr 0.000 0.000 0.000
Pr 0.796 0.591 0.750
Zn 0.815 0.629 0.393
Zn 0.815 0.629 0.107
Zn 0.349 0.697 0.521
Zn 0.349 0.697 0.979
Zn 0.597 0.194 0.750
Zn 0.185 0.371 0.893
Zn 0.651 0.303 0.479
Zn 0.403 0.806 0.250
Zn 0.185 0.371 0.607
Zn 0.651 0.303 0.021
Ge 0.557 0.113 0.250
Ge 0.443 0.887 0.750

Record 7
Here is a geometry-optimized H3S structure from Alexandria via LeMat-Bulk. Energies are from PBE-GGA.

Output
The density of states at the Fermi level is 0.5 states/eV per cell. The value obtained for the calculated density is 1.5 g cm⁻³. For the spin magnetization, the calculation gives 0.000 μB per formula unit. The value obtained for the final energy is -2.92 eV/atom.

Cell: 2.569 2.559 6.101 Å, 90.00 90.00 90.00°
Element x y z (fractional)
H 0.000 0.500 0.283
H 0.500 0.500 0.625
H 0.500 0.000 0.625
S 0.000 0.000 0.134

Record 8
Here is a geometry-optimized NaIrRhO6 structure from Alexandria via LeMat-Bulk. Energies are from PBE-GGA.

Output
The density of states at the Fermi level is 8.0 states/eV per cell. The value obtained for the calculated density is 5.6 g cm⁻³. For the spin magnetization, the calculation gives 0.780 μB per formula unit. The formation energy from raw total energies comes out at -0.804 eV per atom. The value obtained for the final energy is -6.06 eV/atom.

Cell: 5.293 5.293 10.086 Å, 90.00 90.00 120.00°
Site moments in Bohr magnetons follow the coordinates.
Element x y z (fractional)
O 0.007 0.619 0.854  0.05
O 0.007 0.388 0.646  0.05
O 0.612 0.993 0.854  0.05
O 0.381 0.388 0.854  0.05
O 0.619 0.007 0.354  0.05
O 0.388 0.007 0.146  0.05
O 0.993 0.381 0.146  0.05
O 0.993 0.612 0.354  0.05
O 0.381 0.993 0.646  0.05
O 0.388 0.381 0.354  0.05
O 0.612 0.619 0.646  0.05
O 0.619 0.612 0.146  0.05
Rh 0.333 0.667 0.250  0.06
Rh 0.667 0.333 0.750  0.06
Ir 0.667 0.333 0.250  0.32
Ir 0.333 0.667 0.750  0.32
Na 0.000 0.000 0.500  0.00
Na 0.000 0.000 0.000  0.00

Record 9
Here is a geometry-optimized ErBPd6 structure from Alexandria via LeMat-Bulk. Energies are from PBE-GGA.

Output
The density of states at the Fermi level is 5.7 states/eV per cell. The value obtained for the calculated density is 10.3 g cm⁻³. For the spin magnetization, the calculation gives 0.000 μB per formula unit. The value obtained for the final energy is -5.67 eV/atom. The formation energy is -0.375 eV/atom.

Cell: 5.187 5.187 5.187 Å, 79.53 79.53 100.47°
Element x y z (fractional)
Pd 0.286 0.286 0.091
Pd 0.909 0.285 0.714
Pd 0.714 0.714 0.909
Pd 0.715 0.091 0.286
Pd 0.285 0.909 0.714
Pd 0.091 0.715 0.286
B 0.000 0.000 0.000
Er 0.500 0.500 0.500

Record 10
Here is a geometry-optimized CaZnTc2 structure from Alexandria via LeMat-Bulk. Energies are from PBE-GGA.

Output
The density of states at the Fermi level is 3.8 states/eV per cell. The value obtained for the calculated density is 7.3 g cm⁻³. For the spin magnetization, the calculation gives 0.000 μB per formula unit. The value obtained for the final energy is -5.57 eV/atom. The formation energy is 0.428 eV/atom.

Cell: 5.364 5.364 4.863 Å, 75.21 75.21 30.77°
Element x y z (fractional)
Tc 0.028 0.028 0.956
Tc 0.472 0.472 0.544
Zn 0.750 0.750 0.750
Ca 0.250 0.250 0.250

Record 11
Here is a geometry-optimized Ga2SnBr4 structure from Alexandria via LeMat-Bulk. Energies are from PBE-GGA.

Output
The value obtained for the calculated density is 3.7 g cm⁻³. The energy above the most stable polymorph in this dataset comes out at 0.066 eV/atom. For the spin magnetization, the calculation gives 0.000 μB per formula unit. The formation energy from raw total energies comes out at -0.555 eV per atom. The value obtained for the final energy is -2.95 eV/atom.

Cell: 5.967 5.967 8.455 Å, 69.34 69.34 90.00°
Element x y z (fractional)
Br 0.500 0.000 0.000
Br 0.199 0.199 0.602
Br 0.000 0.500 0.000
Br 0.801 0.801 0.398
Sn 0.000 0.000 0.000
Ga 0.619 0.619 0.761
Ga 0.381 0.381 0.239

Record 12
Here is a geometry-optimized CsSm2Cl7 structure from Alexandria via LeMat-Bulk. Energies are from PBE-GGA.

Output
The density of states at the Fermi level is 0.0 states/eV per cell. The value obtained for the calculated density is 3.4 g cm⁻³. The energy above the most stable polymorph in this dataset comes out at 0.032 eV/atom. For the spin magnetization, the calculation gives 0.000 μB per formula unit. The formation energy from raw total energies comes out at -2.250 eV per atom. The value obtained for the final energy is -4.57 eV/atom.

Cell: 5.450 8.265 8.265 Å, 116.85 90.00 90.00°
Element x y z (fractional)
Cl 0.000 0.706 0.294
Cl 0.000 0.294 0.706
Cl 0.500 0.329 0.047
Cl 0.500 0.047 0.329
Cl 0.500 0.953 0.671
Cl 0.500 0.671 0.953
Cl 0.500 0.500 0.500
Sm 0.500 0.304 0.696
Sm 0.500 0.696 0.304
Cs 0.000 0.000 0.000

Question: Look up the calculated density of the tenth one.
Answer: 7.3 g cm⁻³